No. 1
Ho7Tm4Zr | PBE | relaxed

abc: 9.806 9.806 5.829
angles: 92.31 92.31 40.75
Fractional coordinates of all 12 atoms:
Ho 0.000 0.000 0.000
Ho 0.187 0.187 0.260
Ho 0.287 0.287 0.777
Ho 0.463 0.463 0.742
Ho 0.537 0.537 0.258
Ho 0.713 0.713 0.223
Ho 0.813 0.813 0.740
Tm 0.130 0.600 0.269
Tm 0.400 0.870 0.731
Tm 0.600 0.130 0.269
Tm 0.870 0.400 0.731
Zr 0.000 0.000 0.500

VASP energy in eV per atom: -4.71
Formation energy from the elements in eV/atom: 0.168
ρ in kg/m³: 8728

No. 2
AgHPd2Rh | PBE | relaxed

abc: 4.097 4.097 3.871
angles: 90.00 90.00 90.00
Fractional coordinates of all 5 atoms:
Ag 0.000 0.000 0.000
H 0.500 0.500 0.500
Pd 0.000 0.500 0.500
Pd 0.500 0.000 0.500
Rh 0.500 0.500 0.000

VASP energy in eV per atom: -4.74
ρ in kg/m³: 10850

No. 3
Mn2WN2 | PBE | relaxed

abc: 6.329 6.329 2.573
angles: 90.00 90.00 90.00
Fractional coordinates of all 10 atoms:
Mn 0.128 0.372 0.000
Mn 0.372 0.872 0.000
Mn 0.628 0.128 0.000
Mn 0.872 0.628 0.000
W 0.000 0.000 0.000
W 0.500 0.500 0.000
N 0.130 0.630 0.500
N 0.370 0.130 0.500
N 0.630 0.870 0.500
N 0.870 0.370 0.500

VASP energy in eV per atom: -8.56
Formation energy without anion corrections in eV per formula unit: 5.1
ρ in kg/m³: 10367

No. 4
KRhCl2 | PBE | relaxed

abc: 8.452 8.452 8.452
angles: 30.50 30.50 30.50
Fractional coordinates of all 4 atoms:
K 0.000 0.000 0.000
Rh 0.500 0.500 0.500
Cl 0.405 0.405 0.405
Cl 0.595 0.595 0.595

VASP energy in eV per atom: -3.56
Formation energy without anion corrections in eV per formula unit: -2.1
ρ in kg/m³: 2564

No. 5
CrCoCu2 | PBE | relaxed

abc: 2.435 2.435 8.247
angles: 90.00 90.00 108.19
Fractional coordinates of all 4 atoms:
Cr 0.000 0.000 0.000
Co 0.500 0.500 0.762
Cu 0.000 0.000 0.510
Cu 0.500 0.500 0.258

VASP energy in eV per atom: -6.05
Formation energy from the elements in eV/atom: 0.183
ρ in kg/m³: 8507

No. 6
YTh3Se6 | PBE | relaxed

abc: 8.466 8.466 8.466
angles: 87.47 87.47 87.47
Fractional coordinates of all 20 atoms:
Y 0.000 0.000 0.000
Y 0.500 0.500 0.500
Th 0.069 0.580 0.213
Th 0.213 0.069 0.580
Th 0.420 0.787 0.931
Th 0.580 0.213 0.069
Th 0.787 0.931 0.420
Th 0.931 0.420 0.787
Se 0.093 0.694 0.874
Se 0.126 0.907 0.306
Se 0.179 0.411 0.530
Se 0.306 0.126 0.907
Se 0.411 0.530 0.179
Se 0.470 0.821 0.589
Se 0.530 0.179 0.411
Se 0.589 0.470 0.821
Se 0.694 0.874 0.093
Se 0.821 0.589 0.470
Se 0.874 0.093 0.694
Se 0.907 0.306 0.126

VASP energy in eV per atom: -6.53
Formation energy without anion corrections in eV per formula unit: -15.7
ρ in kg/m³: 6908

Number 1: Fermi-level density of states 1.9831 states/eV per atom, size of the total moment 0.015 μB per cell. Number 2: Fermi-level density of states 1.0016 states/eV per atom, size of the total moment 0.000 μB per cell. Number 3: Fermi-level density of states 0.7920 states/eV per atom, size of the total moment 3.925 μB per cell. Number 4: Fermi-level density of states 3.1878 states/eV per atom, size of the total moment 2.000 μB per cell. Number 5: Fermi-level density of states 1.0481 states/eV per atom, size of the total moment 1.412 μB per cell. Number 6: Fermi-level density of states 0.4632 states/eV per atom, size of the total moment 0.000 μB per cell.